# 1
Computed, not measured: a relaxed structure of LuB4Ru at the PBE level of DFT.

Values from the calculation:
* excess energy over the best structure of this formula in the dataset: 1086 meV/atom
* DOS(E_F): 13.12 states/eV/cell
* size of the total moment: 0.00 μB/cell

Lattice parameters (Å, degrees): 6.2533 6.2533 6.2533 90.00 90.00 90.00
With the nearest neighbours (Å) after each atom.
Space group F-43m (No. 216)
One atom of each set of equivalent atoms:
Lu 0.0000 0.0000 0.0000 (multiplicity 4)  12 B 2.56, 4 Ru 2.71
B 0.1496 0.1496 0.3504 (multiplicity 16)  3 B 1.78
Ru 0.2500 0.2500 0.7500 (multiplicity 4)  12 B 2.65, 4 Lu 2.71


# 2
Computed, not measured: a relaxed structure of LuB2Ru3 at the PBE level of DFT.

Values from the calculation:
* DOS(E_F): 4.68 states/eV/cell
* size of the total moment: 0.00 μB/cell

Lattice parameters (Å, degrees): 5.4907 5.4907 3.0133 90.00 90.00 120.00
With the nearest neighbours (Å) after each atom.
Space group P6/mmm (No. 191)
One atom of each set of equivalent atoms:
Lu 0.0000 0.0000 0.0000 (multiplicity 1)  2 Lu 3.01, 12 Ru 3.13, 6 B 3.17
B 0.3333 0.6667 0.0000 (multiplicity 2)  6 Ru 2.19
Ru 0.0000 0.5000 0.5000 (multiplicity 3)  4 B 2.19


# 3
Computed, not measured: a relaxed structure of Lu9B5S21 at the PBE level of DFT.

Values from the calculation:
* size of the total moment: 0.00 μB/cell
* formation energy from raw total energies: -4792 kJ/mol of formula units

Lattice parameters (Å, degrees): 16.0778 16.0778 17.7384 90.00 90.00 120.00
With the nearest neighbours (Å) after each atom.
Space group R3 (No. 146, hexagonal axes)
One atom of each set of equivalent atoms:
Lu 0.0198 0.8310 0.0000 (multiplicity 9)  6 S 2.58-2.83
Lu 0.0237 0.8160 0.3330 (multiplicity 9)  7 S 2.65-2.89
Lu 0.0293 0.8205 0.6506 (multiplicity 9)  7 S 2.58-2.86
Lu 0.1466 0.4637 0.8164 (multiplicity 9)  6 S 2.57-2.84
Lu 0.1501 0.4585 0.4999 (multiplicity 9)  6 S 2.64-2.87
Lu 0.1698 0.4734 0.1665 (multiplicity 9)  6 S 2.58-2.85
B 0.0000 0.0000 0.1937 (multiplicity 3)  3 S 1.82
B 0.0000 0.0000 0.3681 (multiplicity 3)  3 S 1.82
B 0.0000 0.0000 0.6948 (multiplicity 3)  3 S 1.82
B 0.0000 0.0000 0.8689 (multiplicity 3)  3 S 1.82
B 0.0006 0.6591 0.4677 (multiplicity 9)  4 S 1.94-1.97
B 0.0039 0.3430 0.9675 (multiplicity 9)  4 S 1.93-1.97
S 0.0044 0.4435 0.5893 (multiplicity 9)  1 B 1.93
S 0.0046 0.6597 0.5787 (multiplicity 9)  1 B 1.97
S 0.0063 0.3262 0.4118 (multiplicity 9)  1 B 1.97
S 0.0087 0.8913 0.1894 (multiplicity 9)  1 B 1.82
S 0.0128 0.8940 0.8588 (multiplicity 9)  1 B 1.82
S 0.0153 0.4599 0.9249 (multiplicity 9)  1 B 1.95
S 0.0192 0.8799 0.5177 (multiplicity 9)  3 Lu 2.58-2.64
S 0.0224 0.4489 0.2592 (multiplicity 9)  1 B 1.95
S 0.1114 0.7714 0.0929 (multiplicity 9)  1 B 1.96
S 0.1183 0.7608 0.4237 (multiplicity 9)  1 B 1.94
S 0.1189 0.0130 0.3585 (multiplicity 9)  1 B 1.82
S 0.1196 0.0142 0.6902 (multiplicity 9)  1 B 1.82
S 0.1244 0.7775 0.7576 (multiplicity 9)  1 B 1.94
S 0.1367 0.0128 0.0169 (multiplicity 9)  3 Lu 2.57-2.63


Calculated values (eV per cell) of uncorrected energy for the records, taken in order: -151.6; -48.6; -1262.5.